A relaxed structure of RbLiPu2Se4. Source: Alexandria, functional PBE-GGA.

Uncorrected formation energy = -33.068 kcal/mol of atoms
SG = Cmcm

abc: 4.274 7.438 14.695
angles: 90.00 90.00 106.70
Element x y z (fractional)
Rb  0.108  0.216  0.750
Rb  0.892  0.784  0.250
Li  0.833  0.667  0.750
Li  0.167  0.333  0.250
Pu  0.367  0.735  0.560
Pu  0.633  0.265  0.060
Pu  0.633  0.265  0.440
Pu  0.367  0.735  0.940
Se  0.261  0.521  0.106
Se  0.739  0.479  0.606
Se  0.739  0.479  0.894
Se  0.261  0.521  0.394
Se  0.000  0.000  0.500
Se  0.000  0.000  0.000
Se  0.423  0.845  0.750
Se  0.577  0.155  0.250

---

A relaxed structure of RbLiPu2Te4. Source: Alexandria, functional PBE-GGA.

Uncorrected formation energy = -24.422 kcal/mol of atoms
SG = Cmcm

abc: 4.568 7.937 15.819
angles: 90.00 90.00 106.73
Element x y z (fractional)
Rb  0.111  0.223  0.750
Rb  0.889  0.777  0.250
Li  0.835  0.670  0.750
Li  0.165  0.330  0.250
Pu  0.368  0.736  0.561
Pu  0.632  0.264  0.061
Pu  0.632  0.264  0.439
Pu  0.368  0.736  0.939
Te  0.264  0.527  0.107
Te  0.736  0.473  0.607
Te  0.736  0.473  0.893
Te  0.264  0.527  0.393
Te  0.000  0.000  0.500
Te  0.000  0.000  0.000
Te  0.429  0.858  0.750
Te  0.571  0.142  0.250

---

A relaxed structure of Rb2Li2PuTe4. Source: Alexandria, functional PBE-GGA.

Uncorrected formation energy = -23.499 kcal/mol of atoms
SG = C2/m

abc: 4.632 8.526 8.639
angles: 108.53 105.55 90.00
Element x y z (fractional)
Rb  0.137  0.566  0.275
Rb  0.863  0.434  0.725
Li  0.681  0.989  0.362
Li  0.319  0.011  0.638
Pu  0.000  0.000  0.000
Te  0.195  0.174  0.389
Te  0.805  0.826  0.611
Te  0.514  0.769  0.029
Te  0.486  0.231  0.971

---

A relaxed structure of RbLiPuTe3. Source: Alexandria, functional PBE-GGA.

Uncorrected formation energy = -22.292 kcal/mol of atoms
SG = P2_1/m

abc: 4.576 9.803 10.468
angles: 108.51 90.00 90.00
Element x y z (fractional)
Rb  0.250  0.210  0.257
Rb  0.750  0.790  0.743
Li  0.250  0.081  0.598
Li  0.750  0.919  0.402
Pu  0.250  0.679  0.150
Pu  0.750  0.321  0.850
Te  0.750  0.878  0.127
Te  0.250  0.122  0.873
Te  0.250  0.786  0.452
Te  0.750  0.214  0.548
Te  0.750  0.469  0.158
Te  0.250  0.531  0.842

---

A relaxed structure of LiPu2Re. Source: Alexandria, functional PBE-GGA.

SG = P4/mmm
Energy relative to the elements = 2.328 eV/f.u.

abc: 2.515 2.515 10.701
angles: 90.00 90.00 90.00
Element x y z (fractional)
Re  0.500  0.500  0.000
Li  0.500  0.500  0.500
Pu  0.000  0.000  0.756
Pu  0.000  0.000  0.244

---

A relaxed structure of LiTmPuRe. Source: Alexandria, functional PBE-GGA.

SG = F-43m
Energy relative to the elements = 0.510 eV/f.u.

abc: 4.849 4.849 4.849
angles: 60.00 60.00 60.00
Element x y z (fractional)
Re  0.500  0.500  0.500
Tm  0.750  0.750  0.750
Li  0.000  0.000  0.000
Pu  0.250  0.250  0.250

---

A relaxed structure of LiPu2Rh2. Source: Alexandria, functional PBE-GGA.

Energy relative to the lowest polymorph listed for this composition = 0.00 eV/f.u.
SG = Immm
Energy relative to the elements = -1.835 eV/f.u.

abc: 4.286 5.347 5.347
angles: 95.14 113.58 113.58
Element x y z (fractional)
Li  0.000  0.000  0.000
Pu  0.500  0.297  0.703
Pu  0.500  0.703  0.297
Rh  0.761  0.262  0.262
Rh  0.239  0.738  0.738

---

A relaxed structure of LiPu2Rh2. Source: Alexandria, functional PBE-GGA.

Energy relative to the lowest polymorph listed for this composition = 0.21 eV/f.u.
SG = C2/m
Energy relative to the elements = -1.625 eV/f.u.

abc: 4.646 4.646 5.653
angles: 65.66 65.66 59.99
Element x y z (fractional)
Li  0.000  0.500  0.000
Pu  0.216  0.716  0.352
Pu  0.784  0.284  0.648
Rh  0.600  0.100  0.202
Rh  0.400  0.900  0.798